Entry one
The following is a PBE-GGA calculation of crystalline ZnTeOsI2 at its relaxed geometry, from Alexandria.

Values from the calculation:
density of states at the Fermi level = 5.05 states/eV per cell
calculated density = 6.60 g/cm3
M_tot = 0.894 μB per atom
SG = No. 123

a = 5.4042 Å, b = 5.4042 Å, c = 5.4905 Å
α = 90.00°, β = 90.00°, γ = 90.00°
Last column: nearest neighbours and their distance in Å.
Element x y z (fractional)
Os 0.5000 0.5000 0.5000  4 Te 3.82, 8 I 3.85
Te 0.0000 0.0000 0.5000  2 Zn 2.75
I 0.0000 0.5000 0.0000  2 Zn 2.70
I 0.5000 0.0000 0.0000  2 Zn 2.70
Zn 0.0000 0.0000 0.0000  4 I 2.70, 2 Te 2.75



Entry two
The following is a PBE-GGA calculation of crystalline ZnTeOsI2 at its relaxed geometry, from Alexandria.

Values from the calculation:
density of states at the Fermi level = 4.47 states/eV per cell
calculated density = 6.60 g/cm3
M_tot = 0.000 μB per atom
SG = No. 123

a = 5.6635 Å, b = 5.6635 Å, c = 4.9963 Å
α = 90.00°, β = 90.00°, γ = 90.00°
Last column: nearest neighbours and their distance in Å.
Element x y z (fractional)
Te 0.0000 0.0000 0.5000  2 Os 2.50
Zn 0.5000 0.5000 0.5000  8 I 3.78, 4 Te 4.00
I 0.5000 0.0000 0.0000  2 Os 2.83
Os 0.0000 0.0000 0.0000  2 Te 2.50
I 0.0000 0.5000 0.0000  2 Os 2.83



In terms of stability, entry two leads; the second structure lies 0.747 eV/atom higher.



Entry one
The following is a PBE-GGA calculation of crystalline TiOsI at its relaxed geometry, from Alexandria.

Values from the calculation:
density of states at the Fermi level = 4.54 states/eV per cell
calculated density = 7.65 g/cm3
M_tot = 0.000 μB per atom
SG = No. 12

a = 10.5511 Å, b = 4.6395 Å, c = 6.5127 Å
α = 90.00°, β = 96.00°, γ = 90.00°
Last column: nearest neighbours and their distance in Å.
Element x y z (fractional)
Os 0.5053 0.0000 0.3120  3 Os 2.45-2.46, 2 Ti 2.53-2.54
I 0.8216 0.0000 0.6997  3 Ti 2.93-3.13
Os 0.5053 0.5000 0.8120  3 Os 2.45-2.46, 2 Ti 2.53-2.54
I 0.8216 0.5000 0.1997  3 Ti 2.93-3.13
Os 0.4947 0.5000 0.1880  3 Os 2.45-2.46, 2 Ti 2.53-2.54
Ti 0.6452 0.5000 0.5195  2 Os 2.53-2.54
Ti 0.3548 0.0000 0.9805  2 Os 2.53-2.54
Ti 0.6452 0.0000 0.0195  2 Os 2.53-2.54
I 0.1784 0.5000 0.8003  3 Ti 2.93-3.13
Ti 0.3548 0.5000 0.4805  2 Os 2.53-2.54
I 0.1784 0.0000 0.3003  3 Ti 2.93-3.13
Os 0.4947 0.0000 0.6880  3 Os 2.45-2.46, 2 Ti 2.53-2.54



Entry two
The following is a PBE-GGA calculation of crystalline TiOsI at its relaxed geometry, from Alexandria.

Values from the calculation:
density of states at the Fermi level = 1.59 states/eV per cell
calculated density = 8.06 g/cm3
M_tot = 0.000 μB per atom
SG = No. 1

a = 3.3343 Å, b = 4.9114 Å, c = 9.8589 Å
α = 82.62°, β = 89.65°, γ = 70.12°
Last column: nearest neighbours and their distance in Å.
Element x y z (fractional)
Os 0.9476 0.2243 0.3016  2 Ti 2.49, 3 Os 2.66-2.69
I 0.1404 0.8276 0.6441  3 Ti 2.97-3.14, 2 Os 3.30
Ti 0.2160 0.6948 0.1862  2 Os 2.45
Ti 0.4142 0.2844 0.4839  2 Os 2.49
Os 0.6755 0.7692 0.3603  2 Ti 2.45, 3 Os 2.66-2.69
I 0.9311 0.2709 0.0130  1 Os 2.82, 1 Ti 2.96



In terms of stability, entry one leads; the second structure lies 0.091 eV/atom higher.



Entry one
The following is a PBE-GGA calculation of crystalline TiOsI at its relaxed geometry, from Alexandria.

Values from the calculation:
density of states at the Fermi level = 1.05 states/eV per cell
calculated density = 7.09 g/cm3
M_tot = 0.000 μB per atom
SG = No. 2

a = 3.1539 Å, b = 5.0372 Å, c = 11.3976 Å
α = 84.57°, β = 89.67°, γ = 71.68°
Last column: nearest neighbours and their distance in Å.
Element x y z (fractional)
Os 0.1410 0.2166 0.4813  4 Ti 2.52-2.71, 3 Os 2.60-2.78
Ti 0.5544 0.3831 0.6321  4 Os 2.52-2.71
Os 0.8590 0.7834 0.5187  4 Ti 2.52-2.71, 3 Os 2.60-2.78
I 0.8918 0.7330 0.1630  2 Ti 2.83, 2 I 3.15
Ti 0.4456 0.6169 0.3679  4 Os 2.52-2.71
I 0.1082 0.2670 0.8370  2 Ti 2.83, 2 I 3.15



Entry two
The following is a PBE-GGA calculation of crystalline TiOsI at its relaxed geometry, from Alexandria.

Values from the calculation:
density of states at the Fermi level = 4.45 states/eV per cell
calculated density = 7.92 g/cm3
M_tot = 0.000 μB per atom
SG = No. 2

a = 3.3971 Å, b = 4.8918 Å, c = 9.8208 Å
α = 89.36°, β = 89.25°, γ = 69.66°
Last column: nearest neighbours and their distance in Å.
Element x y z (fractional)
I 0.6245 0.2306 0.8166  1 Os 2.87, 3 Ti 3.06-3.12
Ti 0.9175 0.6563 0.6482  2 Os 2.47
Ti 0.0825 0.3437 0.3518  2 Os 2.47
Os 0.3610 0.7824 0.4753  2 Ti 2.47, 3 Os 2.63-2.67
I 0.3755 0.7694 0.1834  1 Os 2.87, 3 Ti 3.06-3.12
Os 0.6390 0.2176 0.5247  2 Ti 2.47, 3 Os 2.63-2.67



Entry three
The following is a PBE-GGA calculation of crystalline TiOsI at its relaxed geometry, from Alexandria.

Values from the calculation:
density of states at the Fermi level = 6.96 states/eV per cell
calculated density = 7.76 g/cm3
M_tot = 0.000 μB per atom
SG = No. 38

a = 4.0329 Å, b = 3.7281 Å, c = 20.7802 Å
α = 90.00°, β = 90.00°, γ = 90.00°
Last column: nearest neighbours and their distance in Å.
Element x y z (fractional)
Ti 0.5000 0.0000 0.0828  4 Os 2.52-2.59
I 0.0000 0.5000 0.0070  4 Ti 3.17
I 0.0000 0.0000 0.5070  4 Ti 3.17
Os 0.0000 0.5000 0.6611  4 Ti 2.50-2.59, 4 Os 2.75
I 0.5000 0.5000 0.3376  2 Ti 2.84
Os 0.0000 0.0000 0.1611  4 Ti 2.50-2.59, 4 Os 2.75
Os 0.5000 0.0000 0.6647  4 Ti 2.52-2.57, 4 Os 2.75
Ti 0.5000 0.5000 0.5828  4 Os 2.52-2.59
Ti 0.0000 0.5000 0.2414  4 Os 2.50-2.57
I 0.5000 0.0000 0.8376  2 Ti 2.84
Os 0.5000 0.5000 0.1647  4 Ti 2.52-2.57, 4 Os 2.75
Ti 0.0000 0.0000 0.7414  4 Os 2.50-2.57



In terms of stability, entry one leads; the second structure lies 0.015 eV/atom higher.